(1)
AcYHoTl | GGA-PBE | relaxed

Crystal system: cubic
ΔE_f in eV/atom: 0.05

Cell: 7.9599 7.9599 7.9599 Å, 90.00 90.00 90.00°
Closest atoms and distances in Å follow each position.
Space group F-43m (No. 216)
Unique sites:
Ac: 0.0000 0.0000 0.0000 x4  4 Y 3.45, 4 Ho 3.45
Y: 0.2500 0.2500 0.7500 x4  4 Ac 3.45, 4 Tl 3.45
Ho: 0.2500 0.2500 0.2500 x4  4 Ac 3.45, 4 Tl 3.45
Tl: 0.0000 0.0000 0.5000 x4  4 Ho 3.45, 4 Y 3.45

(2)
Tl3GaHg2Bi3 | GGA-PBE | relaxed

Crystal system: hexagonal
ΔE_f in eV/atom: 0.02

Cell: 7.9979 7.9979 4.9635 Å, 90.00 90.00 120.00°
Closest atoms and distances in Å follow each position.
Space group P-62m (No. 189)
Unique sites:
Tl: 0.0000 0.5841 0.0000 x3  1 Ga 3.33, 4 Hg 3.46, 2 Bi 3.69
Ga: 0.0000 0.0000 0.0000 x1  6 Bi 3.15, 3 Tl 3.33
Hg: 0.3333 0.6667 0.5000 x2  3 Bi 3.09, 6 Tl 3.46
Bi: 0.0000 0.2432 0.5000 x3  2 Hg 3.09, 2 Ga 3.15, 2 Bi 3.37

(3)
NaAc2PaTe5 | GGA-PBE | relaxed

Crystal system: orthorhombic
Formation energy (no corrections) in eV/atom: -1.177

Cell: 4.5766 19.2233 14.1629 Å, 90.00 90.00 90.00°
Closest atoms and distances in Å follow each position.
Space group Cmc2_1 (No. 36)
Unique sites:
Na: 0.0000 0.0335 0.0000 x4  3 Te 2.85-2.87
Ac: 0.0000 0.3646 0.8381 x4  8 Te 3.38-3.64
Ac: 0.0000 0.3943 0.2269 x4  8 Te 3.36-3.64
Pa: 0.0000 0.2972 0.5484 x4  6 Te 2.97-3.18
Te: 0.0000 0.0084 0.3067 x4  1 Na 2.85
Te: 0.0000 0.1349 0.5384 x4  1 Pa 3.12, 1 Na 3.28
Te: 0.0000 0.1873 0.8935 x4  2 Pa 3.18, 1 Na 3.32, 1 Ac 3.50
Te: 0.0000 0.2194 0.2002 x4  2 Pa 3.16, 3 Ac 3.38-3.41
Te: 0.0000 0.4430 0.6176 x4  2 Na 2.87, 1 Pa 2.97

(4)
Ca2CdGe2 | GGA-PBE | relaxed

Crystal system: tetragonal
ΔE_f in eV/atom: -0.19

Cell: 5.8636 5.8636 8.2662 Å, 90.00 90.00 90.00°
Closest atoms and distances in Å follow each position.
Space group I4/mmm (No. 139)
Unique sites:
Ca: 0.0000 0.5000 0.2500 x4  4 Ge 3.04
Cd: 0.0000 0.0000 0.0000 x2  2 Ge 2.87
Ge: 0.0000 0.0000 0.3468 x4  1 Ge 2.53

(5)
MgZr2N3 | GGA-PBE | relaxed

Crystal system: orthorhombic
Formation energy (no corrections) in eV/atom: -1.479

Cell: 6.4412 4.5639 9.6486 Å, 90.00 90.00 90.00°
Closest atoms and distances in Å follow each position.
Space group Pnma (No. 62)
Unique sites:
Mg: 0.1199 0.2500 0.0815 x4  6 N 2.25-2.32
Zr: 0.1244 0.2500 0.7537 x4  6 N 2.25-2.31
Zr: 0.1272 0.2500 0.4173 x4  6 N 2.26-2.29
N: 0.1220 0.7500 0.7496 x4  2 Mg 2.25-2.32, 4 Zr 2.27-2.29
N: 0.1269 0.7500 0.4176 x4  5 Zr 2.25-2.31, 1 Mg 2.27
N: 0.1287 0.7500 0.0857 x4  3 Zr 2.25-2.27, 3 Mg 2.27-2.28

(6)
KTl3Cu2Br6 | GGA-PBE | relaxed

Crystal system: trigonal
Formation energy (no corrections) in eV/atom: -0.718

Cell: 8.4066 8.4066 8.4735 Å, 90.00 90.00 120.00°
Closest atoms and distances in Å follow each position.
Space group P-3m1 (No. 164)
Unique sites:
K: 0.0000 0.0000 0.0000 x1  6 Br 3.18
Tl: 0.0000 0.0000 0.5000 x1  6 Br 3.38
Tl: 0.3333 0.6667 0.0807 x2  1 Cu 2.84
Cu: 0.3333 0.6667 0.7461 x2  3 Br 2.36
Br: 0.1718 0.3436 0.7684 x6  1 Cu 2.36

(7)
AgSb2Ru | GGA-PBE | relaxed

Crystal system: monoclinic
Formation energy (no corrections) in eV/atom: 0.167

Cell: 3.3818 4.6032 5.4323 Å, 90.00 108.09 90.00°
Closest atoms and distances in Å follow each position.
Space group Pm (No. 6)
Unique sites:
Ag: 0.0000 0.0000 0.0000 x1  7 Sb 2.76-2.94, 2 Ru 2.90
Sb: 0.4525 0.5000 0.9019 x1  3 Ru 2.83-2.89, 4 Ag 2.90
Sb: 0.7315 0.0000 0.4649 x1  3 Ag 2.76-2.94, 4 Ru 2.92-2.93
Ru: 0.1724 0.5000 0.3424 x1  7 Sb 2.83-2.93, 2 Ag 2.90

(8)
ZnOsRu2 | GGA-PBE | relaxed

Crystal system: cubic
ΔE_f in eV/atom: 0.38

Cell: 6.1125 6.1125 6.1125 Å, 90.00 90.00 90.00°
Closest atoms and distances in Å follow each position.
Space group F-43m (No. 216)
Unique sites:
Zn: 0.0000 0.0000 0.0000 x4  4 Ru 2.65, 4 Os 2.65
Os: 0.2500 0.2500 0.2500 x4  4 Ru 2.65, 4 Zn 2.65
Ru: 0.0000 0.0000 0.5000 x4  4 Ru 2.65, 4 Os 2.65
Ru: 0.2500 0.2500 0.7500 x4  4 Ru 2.65, 4 Zn 2.65

(9)
Ba2PuOs2N6 | GGA-PBE | relaxed

Crystal system: trigonal
Formation energy (no corrections) in eV/atom: -0.479

Cell: 6.2117 6.2117 17.8750 Å, 90.00 90.00 120.00°
Closest atoms and distances in Å follow each position.
Space group R-3m (No. 166, hexagonal axes)
Unique sites:
Ba: 0.0000 0.0000 0.2265 x6  9 N 3.16-3.26
Pu: 0.0000 0.0000 0.0000 x3  6 N 2.25
Os: 0.0000 0.0000 0.4330 x6  3 N 1.83
N: 0.0026 0.5013 0.2587 x18  1 Os 1.83

(10)
LiTm4Se4 | GGA-PBE | relaxed

Crystal system: monoclinic
Formation energy (no corrections) in eV/atom: -1.415

Cell: 12.3832 5.6209 8.7573 Å, 90.00 134.92 90.00°
Closest atoms and distances in Å follow each position.
Space group C2/m (No. 12)
Unique sites:
Li: 0.0000 0.0000 0.0000 x2  4 Se 2.67-2.68
Tm: 0.0956 0.5000 0.8030 x4  5 Se 2.80-2.85
Tm: 0.2064 0.0000 0.6098 x4  5 Se 2.80-2.85
Se: 0.0926 0.0000 0.8017 x4  1 Li 2.67, 5 Tm 2.80-2.85
Se: 0.2087 0.5000 0.6168 x4  1 Li 2.68, 5 Tm 2.80-2.85

(11)
TcAuSeO2 | GGA-PBE | relaxed

Crystal system: tetragonal
Formation energy (no corrections) in eV/atom: -0.687

Cell: 3.7706 3.7706 5.6284 Å, 90.00 90.00 90.00°
Closest atoms and distances in Å follow each position.
Space group P4/mmm (No. 123)
Unique sites:
Tc: 0.0000 0.0000 0.0000 x1  4 O 1.89
Au: 0.5000 0.5000 0.5000 x1  4 Se 2.67
Se: 0.0000 0.0000 0.5000 x1  4 Au 2.67, 2 Tc 2.81
O: 0.0000 0.5000 0.0000 x2  2 Tc 1.89

(12)
GaTeSe2 | GGA-PBE | relaxed

Crystal system: monoclinic
Formation energy (no corrections) in eV/atom: -0.317
Energy relative to the lowest polymorph listed for this composition in meV per atom: 6

Cell: 6.9123 4.0128 9.3518 Å, 90.00 103.90 90.00°
Closest atoms and distances in Å follow each position.
Space group Pm (No. 6)
Unique sites:
Ga: 0.0000 0.0000 0.0000 x1  4 Se 2.37-2.50
Ga: 0.4897 0.0000 0.7164 x1  2 Se 2.36-2.43
Te: 0.2137 0.5000 0.6502 x1  2 Ga 2.73, 1 Se 2.83, 1 Te 3.05
Te: 0.3610 0.5000 0.3683 x1  4 Se 2.82-2.88, 1 Te 3.05
Se: 0.0709 0.0000 0.2748 x1  1 Ga 2.50
Se: 0.1888 0.5000 0.9479 x1  2 Ga 2.50
Se: 0.6414 0.0000 0.5078 x1  1 Ga 2.43
Se: 0.6490 0.0000 0.9691 x1  2 Ga 2.36-2.37

| no. | magnetization (μB per cell) |
| --- | --- |
| 1 | 5.3 |
| 2 | 0.0 |
| 3 | 6.2 |
| 4 | 0.0 |
| 5 | 0.0 |
| 6 | 0.2 |
| 7 | 0.0 |
| 8 | 7.4 |
| 9 | 12.1 |
| 10 | 0.0 |
| 11 | 0.0 |
| 12 | 0.0 |